Computed, not measured: an optimized crystal structure of TiMnAl3 at the PBE level of DFT.

abc: 4.425 4.425 4.425
angles: 90.00 90.00 90.00
Space group Pm-3m (No. 221)
Asymmetric unit:
Ti1 0.000 0.000 0.000 [1 per cell]
Mn1 0.500 0.500 0.500 [1 per cell]
Al1 0.000 0.500 0.500 [3 per cell]

Calculated values
- Density: 3.521 Mg/m³
- Energy above the most stable polymorph in this dataset: 541 meV per atom
- ΔE_f: 0.28 eV per atom
- Magnetic moment: 0.0 μB/f.u.

Computed, not measured: an optimized crystal structure of Rb2Ag2PbF6 at the PBE level of DFT.

abc: 6.9714 6.9714 18.7339
angles: 90.00 90.00 120.00
Space group R-3m (No. 166, hexagonal axes)
Asymmetric unit:
Rb1 0.0000 0.0000 0.2056 [6 per cell]
Ag1 0.0000 0.0000 0.4240 [6 per cell]
Pb1 0.0000 0.0000 0.0000 [3 per cell]
F1 0.0364 0.5182 0.7552 [18 per cell]

Calculated values
- Density: 4.472 Mg/m³
- E_form (uncorrected): -1931 meV/atom
- Magnetic moment: 0.0 μB/f.u.

Computed, not measured: an optimized crystal structure of Fe2TePt at the PBE level of DFT.

abc: 5.277 5.277 11.913
angles: 90.00 90.00 90.00
Space group I-42d (No. 122)
Asymmetric unit:
Fe1 0.225 0.250 0.125 [8 per cell]
Te1 0.000 0.000 0.500 [4 per cell]
Pt1 0.000 0.000 0.000 [4 per cell]

Calculated values
- Density: 8.696 Mg/m³
- E_form (uncorrected): 766 meV/atom
- Magnetic moment: 0.0 μB/f.u.